# 1
{"formula": "SrPrEuSbO6", "functional": "PBE", "state": "optimized geometry", "cell": [[5.920, -0.004, -0.008], [0.001, 6.078, 0.001], [0.070, 0.014, 8.473]], "species": ["Sb", "Pr", "O", "O", "O", "O", "O", "O", "O", "Pr", "Sb", "Eu", "O", "Eu", "O", "Sr", "O", "O", "O", "Sr"], "frac_coords": [[0.500, 0.000, 0.000], [0.000, 0.500, 0.000], [0.679, 0.276, 0.941], [0.274, 0.687, 0.447], [0.776, 0.814, 0.953], [0.726, 0.313, 0.553], [0.183, 0.227, 0.442], [0.894, 0.535, 0.272], [0.817, 0.773, 0.558], [0.500, 0.000, 0.500], [0.000, 0.500, 0.500], [0.515, 0.546, 0.750], [0.404, 0.957, 0.772], [0.485, 0.454, 0.250], [0.596, 0.043, 0.228], [0.988, 0.045, 0.751], [0.321, 0.724, 0.059], [0.106, 0.465, 0.728], [0.224, 0.186, 0.047], [0.012, 0.955, 0.249]], "total_magnetization_mub_per_fu": 6.98, "spacegroup": "P-1 (2)", "e_tot_ev_per_cell": -152.77, "formation_energy_uncorrected_ev_per_atom": -2.5775, "polymorph_energy_ev_per_atom": 0.000}

***

# 2
{"formula": "Eu2PtO", "functional": "PBE", "state": "optimized geometry", "cell": [[-3.203, 2.034, 0.251], [-2.588, -0.177, -2.781], [-4.968, -4.553, 2.312]], "species": ["Eu", "Pt", "Eu", "O"], "frac_coords": [[0.236, 0.236, 0.291], [0.000, 0.000, 0.000], [0.764, 0.764, 0.709], [0.500, 0.500, 0.500]], "total_magnetization_mub_per_fu": 13.95, "spacegroup": "R-3m (166)", "e_tot_ev_per_cell": -38.24, "formation_energy_uncorrected_ev_per_atom": -1.6718, "polymorph_energy_ev_per_atom": 0.000}

***

# 3
{"formula": "EuPtO3", "functional": "PBE", "state": "optimized geometry", "cell": [[-0.784, -0.726, 3.909], [-0.506, -3.934, -0.832], [3.944, -0.649, 0.670]], "species": ["O", "O", "Eu", "Pt", "O"], "frac_coords": [[0.000, 0.000, 0.500], [0.000, 0.500, 0.000], [0.500, 0.500, 0.500], [0.000, 0.000, 0.000], [0.500, 0.000, 0.000]], "total_magnetization_mub_per_fu": 6.34, "spacegroup": "Pm-3m (221)", "e_tot_ev_per_cell": -37.82, "formation_energy_uncorrected_ev_per_atom": -1.3254}

***

# 4
{"formula": "Eu2Pt2O7", "functional": "PBE", "state": "optimized geometry", "cell": [[7.385, 0.000, 0.000], [3.692, 6.396, 0.000], [3.692, 2.132, 6.030]], "species": ["O", "O", "O", "Pt", "Pt", "O", "O", "O", "O", "Eu", "O", "O", "Eu", "O", "Pt", "O", "O", "Eu", "O", "O", "Eu", "Pt"], "frac_coords": [[0.541, 0.541, 0.959], [0.541, 0.959, 0.959], [0.959, 0.541, 0.541], [0.625, 0.125, 0.625], [0.625, 0.625, 0.625], [0.291, 0.709, 0.709], [0.709, 0.291, 0.291], [0.709, 0.709, 0.291], [0.959, 0.541, 0.959], [0.625, 0.125, 0.125], [0.959, 0.959, 0.541], [0.541, 0.959, 0.541], [0.125, 0.625, 0.125], [0.709, 0.291, 0.709], [0.625, 0.625, 0.125], [0.000, 0.000, 0.000], [0.250, 0.250, 0.250], [0.125, 0.125, 0.125], [0.291, 0.291, 0.709], [0.291, 0.709, 0.291], [0.125, 0.125, 0.625], [0.125, 0.625, 0.625]], "total_magnetization_mub_per_fu": 11.97, "spacegroup": "Fd-3m (227)", "e_tot_ev_per_cell": -170.78, "formation_energy_uncorrected_ev_per_atom": -1.6413}

***

# 5
{"formula": "EuPtO2", "functional": "PBE", "state": "optimized geometry", "cell": [[-1.070, 3.068, 1.588], [-3.233, 0.169, 1.614], [1.022, -0.707, 6.173]], "species": ["Pt", "Eu", "O", "O"], "frac_coords": [[0.500, 0.500, 0.500], [0.000, 0.000, 0.000], [0.871, 0.871, 0.386], [0.129, 0.129, 0.614]], "total_magnetization_mub_per_fu": 7.16, "spacegroup": "R-3m (166)", "e_tot_ev_per_cell": -29.06, "formation_energy_uncorrected_ev_per_atom": -0.7083}

***

# 6
{"formula": "Eu2PtO", "functional": "PBE", "state": "optimized geometry", "cell": [[3.287, 0.000, 0.000], [0.000, 3.287, 0.000], [0.000, 0.000, 7.044]], "species": ["Eu", "Pt", "Eu", "O"], "frac_coords": [[0.000, 0.000, 0.784], [0.500, 0.500, 0.500], [0.000, 0.000, 0.216], [0.500, 0.500, 0.000]], "total_magnetization_mub_per_fu": 13.89, "spacegroup": "P4/mmm (123)", "e_tot_ev_per_cell": -37.47, "formation_energy_uncorrected_ev_per_atom": -1.4812, "polymorph_energy_ev_per_atom": 0.191}

***

# 7
{"formula": "Eu2ZnPtO6", "functional": "PBE", "state": "optimized geometry", "cell": [[-4.652, -2.983, 1.701], [3.220, -3.227, 3.147], [2.273, 1.682, 9.164]], "species": ["Zn", "O", "O", "O", "O", "Zn", "O", "O", "Pt", "O", "O", "Eu", "O", "O", "O", "Pt", "Eu", "Eu", "O", "Eu"], "frac_coords": [[0.000, 0.500, 0.500], [0.464, 0.856, 0.747], [0.705, 0.760, 0.054], [0.192, 0.649, 0.050], [0.295, 0.240, 0.946], [0.500, 0.500, 0.000], [0.308, 0.649, 0.550], [0.692, 0.351, 0.450], [0.000, 0.000, 0.000], [0.205, 0.240, 0.446], [0.808, 0.351, 0.950], [0.937, 0.266, 0.249], [0.795, 0.760, 0.554], [0.964, 0.144, 0.753], [0.036, 0.856, 0.247], [0.500, 0.000, 0.500], [0.437, 0.734, 0.251], [0.563, 0.266, 0.749], [0.536, 0.144, 0.253], [0.063, 0.734, 0.751]], "total_magnetization_mub_per_fu": 11.97, "spacegroup": "P2_1/c (14)", "e_tot_ev_per_cell": -151.75, "formation_energy_uncorrected_ev_per_atom": -1.8260}

***

# 8
{"formula": "EuPuO", "functional": "PBE", "state": "optimized geometry", "cell": [[3.524, 0.000, 0.000], [-1.762, 3.052, 0.000], [0.000, 0.000, 6.420]], "species": ["Eu", "O", "Pu"], "frac_coords": [[0.000, 0.000, 0.095], [0.667, 0.333, 0.352], [0.333, 0.667, 0.553]], "total_magnetization_mub_per_fu": 1.20, "spacegroup": "P3m1 (156)", "e_tot_ev_per_cell": -34.00, "formation_energy_uncorrected_ev_per_atom": -1.4794}

***

What is the formula in the seventh record? Eu2ZnPtO6